Compound: Ho2Er2Te3
Source: Alexandria via LeMat-Bulk
Functional: PBE-GGA
Structure: optimized geometry

Properties
- Raw formation energy: -1.005 eV per atom
- E: -4.963 eV/atom

a b c (Å): 4.111 7.368 7.303
angles (deg): 101.16 90.00 106.20
Fractional positions:
Te (0.000, 0.000, 0.000)
Ho (0.614, 0.228, 0.818)
Te (0.732, 0.464, 0.238)
Te (0.268, 0.536, 0.762)
Ho (0.386, 0.772, 0.182)
Er (0.890, 0.780, 0.597)
Er (0.110, 0.220, 0.403)

=====

Compound: HoEr2Te5
Source: Alexandria via LeMat-Bulk
Functional: PBE-GGA
Structure: optimized geometry

Properties
- Raw formation energy: -1.108 eV per atom
- E: -4.784 eV/atom

a b c (Å): 8.034 8.034 9.136
angles (deg): 116.08 116.08 90.00
Fractional positions:
Te (0.988, 0.488, 0.298)
Te (0.810, 0.988, 0.298)
Ho (0.750, 0.750, 0.500)
Te (0.000, 0.000, 0.000)
Te (0.500, 0.500, 0.000)
Te (0.012, 0.512, 0.702)
Er (0.650, 0.150, 0.000)
Te (0.310, 0.810, 0.298)
Er (0.350, 0.850, 0.000)
Te (0.512, 0.690, 0.702)
Te (0.190, 0.012, 0.702)
Te (0.488, 0.310, 0.298)
Er (0.850, 0.650, 0.000)
Ho (0.250, 0.250, 0.500)
Er (0.150, 0.350, 0.000)
Te (0.690, 0.190, 0.702)

=====

| no. | total magnetization (μB per cell) | DOS at the Fermi energy (states/eV/f.u.) |
| --- | --- | --- |
| 1 | 0.00 | 4.966 |
| 2 | 0.00 | 5.674 |